# Ta2CdAu

Ta2CdAu after structural relaxation (PBE-GGA, Alexandria).

Results
Calculated formation energy ... 0.16 eV per atom
Fermi-level density of states ... 3.3 states/eV/cell

Cell lengths 5.363, 5.363, 5.363 Å; angles 136.16, 136.04, 63.82 degrees
Fractional positions:
1 Ta 0.250 0.250 0.000
2 Ta 0.750 0.750 0.000
3 Cd 0.500 0.000 0.500
4 Au 0.000 0.500 0.500